{
  "formula": "Ac8RuRh3",
  "functional": "PBE",
  "state": "relaxed",
  "e_tot_ev_per_atom": -5.82,
  "mass_density_g_cm3": 8.39,
  "cell": [[-4.470, 3.084, -6.853], [6.023, -6.226, -1.152], [-7.166, -1.557, 3.974]],
  "species": ["Ac", "Ac", "Ac", "Ac", "Ac", "Ac", "Ac", "Ac", "Ru", "Rh", "Rh", "Rh"],
  "fractional_positions": [[0.255, 0.511, 0.766], [0.745, 0.489, 0.234], [0.249, 0.006, 0.763], [0.757, 0.006, 0.763], [0.757, 0.514, 0.763], [0.243, 0.486, 0.237], [0.243, 0.994, 0.237], [0.751, 0.994, 0.237], [0.000, 0.000, 0.000], [0.500, 0.000, 0.000], [0.500, 0.500, 0.000], [0.000, 0.500, 0.000]]
}